1.
{
  "formula": "K2ErC2O6",
  "functional": "PBE",
  "state": "optimized geometry",
  "energy_ry_per_atom": -0.51000,
  "n_ef_per_ev_fu": 1.41,
  "magmom_total_mub_per_atom": 0.000,
  "lattice_angstrom": [[5.339, 0.000, 0.000], [-2.670, 4.624, 0.000], [0.000, 0.000, 9.487]],
  "species": ["K", "K", "Er", "C", "C", "O", "O", "O", "O", "O", "O"],
  "frac_coords": [[0.333, 0.667, 0.296], [0.667, 0.333, 0.704], [0.000, 0.000, 0.000], [0.333, 0.667, 0.863], [0.667, 0.333, 0.137], [0.193, 0.387, 0.861], [0.193, 0.807, 0.861], [0.387, 0.193, 0.139], [0.613, 0.807, 0.861], [0.807, 0.193, 0.139], [0.807, 0.613, 0.139]]
}



2.
{
  "formula": "La2ErC",
  "functional": "PBE",
  "state": "optimized geometry",
  "formation_enthalpy_0k_ev_per_atom": 0.076,
  "n_ef_per_ev_fu": 4.63,
  "magmom_total_mub_per_atom": 0.000,
  "lattice_angstrom": [[1.822, 1.052, 10.087], [-1.822, 1.052, 10.087], [0.000, -2.104, 10.087]],
  "species": ["La", "La", "Er", "C"],
  "frac_coords": [[0.118, 0.118, 0.118], [0.882, 0.882, 0.882], [0.000, 0.000, 0.000], [0.500, 0.500, 0.500]]
}



3.
{
  "formula": "LaErC",
  "functional": "PBE",
  "state": "optimized geometry",
  "relative_energy_mev_per_atom": 0,
  "formation_enthalpy_0k_ev_per_atom": -0.198,
  "n_ef_per_ev_fu": 3.78,
  "magmom_total_mub_per_atom": 0.086,
  "lattice_angstrom": [[3.638, 0.000, 0.000], [0.000, 5.032, 0.000], [0.000, 0.000, 8.240]],
  "species": ["La", "La", "Er", "Er", "C", "C"],
  "frac_coords": [[0.250, 0.250, 0.171], [0.750, 0.750, 0.829], [0.250, 0.250, 0.587], [0.750, 0.750, 0.413], [0.250, 0.750, 0.617], [0.750, 0.250, 0.383]]
}



4.
{
  "formula": "LaErC",
  "functional": "PBE",
  "state": "optimized geometry",
  "relative_energy_mev_per_atom": 13,
  "formation_enthalpy_0k_ev_per_atom": -0.185,
  "n_ef_per_ev_fu": 2.41,
  "magmom_total_mub_per_atom": 0.000,
  "lattice_angstrom": [[3.618, 0.000, 0.000], [-1.809, 3.133, 0.000], [0.000, 0.000, 6.600]],
  "species": ["La", "Er", "C"],
  "frac_coords": [[0.000, 0.000, 0.000], [0.667, 0.333, 0.422], [0.333, 0.667, 0.235]]
}



5.
{
  "formula": "LaEr3C2",
  "functional": "PBE",
  "state": "optimized geometry",
  "formation_enthalpy_0k_ev_per_atom": -0.227,
  "n_ef_per_ev_fu": 3.73,
  "magmom_total_mub_per_atom": 0.059,
  "lattice_angstrom": [[7.170, 0.000, 0.000], [-3.585, 6.210, 0.000], [0.000, 0.000, 6.363]],
  "species": ["La", "La", "Er", "Er", "Er", "Er", "Er", "Er", "C", "C", "C", "C"],
  "frac_coords": [[0.333, 0.667, 0.244], [0.667, 0.333, 0.756], [0.168, 0.335, 0.795], [0.168, 0.832, 0.795], [0.335, 0.168, 0.205], [0.665, 0.832, 0.795], [0.832, 0.168, 0.205], [0.832, 0.665, 0.205], [0.000, 0.000, 0.000], [0.000, 0.500, 0.000], [0.500, 0.000, 0.000], [0.500, 0.500, 0.000]]
}



6.
{
  "formula": "LaErC",
  "functional": "PBE",
  "state": "optimized geometry",
  "relative_energy_mev_per_atom": 61,
  "formation_enthalpy_0k_ev_per_atom": -0.137,
  "n_ef_per_ev_fu": 3.00,
  "magmom_total_mub_per_atom": 0.000,
  "lattice_angstrom": [[4.176, 0.000, 0.000], [-0.369, 6.193, 0.000], [-0.380, -1.480, 6.016]],
  "species": ["La", "La", "Er", "Er", "C", "C"],
  "frac_coords": [[0.001, 0.262, 0.240], [0.999, 0.738, 0.760], [0.457, 0.218, 0.720], [0.543, 0.782, 0.280], [0.112, 0.938, 0.438], [0.888, 0.062, 0.562]]
}



7.
{
  "formula": "LaEr3C",
  "functional": "PBE",
  "state": "optimized geometry",
  "formation_enthalpy_0k_ev_per_atom": -0.020,
  "n_ef_per_ev_fu": 4.30,
  "magmom_total_mub_per_atom": 0.000,
  "lattice_angstrom": [[5.033, 0.000, 0.000], [0.000, 5.033, 0.000], [0.000, 0.000, 5.033]],
  "species": ["La", "Er", "Er", "Er", "C"],
  "frac_coords": [[0.000, 0.000, 0.000], [0.000, 0.500, 0.500], [0.500, 0.000, 0.500], [0.500, 0.500, 0.000], [0.500, 0.500, 0.500]]
}



8.
{
  "formula": "La2Er2Sb2C",
  "functional": "PBE",
  "state": "optimized geometry",
  "energy_ry_per_atom": -0.44975,
  "n_ef_per_ev_fu": 6.47,
  "magmom_total_mub_per_atom": 0.001,
  "lattice_angstrom": [[-2.399, 2.399, 8.290], [2.399, -2.399, 8.290], [2.399, 2.399, -8.290]],
  "species": ["La", "La", "Er", "Er", "Sb", "Sb", "C"],
  "frac_coords": [[0.163, 0.163, 0.000], [0.837, 0.837, 0.000], [0.000, 0.500, 0.500], [0.500, 0.000, 0.500], [0.367, 0.367, 0.000], [0.633, 0.633, 0.000], [0.000, 0.000, 0.000]]
}



Please write out number 6 again, unchanged.
{
  "formula": "LaErC",
  "functional": "PBE",
  "state": "optimized geometry",
  "relative_energy_mev_per_atom": 61,
  "formation_enthalpy_0k_ev_per_atom": -0.137,
  "n_ef_per_ev_fu": 3.00,
  "magmom_total_mub_per_atom": 0.000,
  "lattice_angstrom": [[4.176, 0.000, 0.000], [-0.369, 6.193, 0.000], [-0.380, -1.480, 6.016]],
  "species": ["La", "La", "Er", "Er", "C", "C"],
  "frac_coords": [[0.001, 0.262, 0.240], [0.999, 0.738, 0.760], [0.457, 0.218, 0.720], [0.543, 0.782, 0.280], [0.112, 0.938, 0.438], [0.888, 0.062, 0.562]]
}